Record 1
# TbAl2Co

A geometry-optimized TbAl2Co structure (GGA-PBE, the Alexandria database).

Lattice parameters (Å, degrees): 14.6560 7.0188 5.5146 90.00 90.00 90.00
Closest atoms and distances in Å follow each position.
Space group Pnma (No. 62)
Symmetry-distinct sites (fractional):
Tb (0.1004, 0.2500, 0.2346)  2 Co 2.86-2.90, 6 Al 3.06-3.17
Tb (0.1343, 0.7500, 0.0333)  3 Co 2.78-3.03, 4 Al 3.08-3.10
Al (0.0453, 0.0601, 0.7169)  3 Co 2.49-2.54, 2 Al 2.67-2.73
Al (0.2116, 0.5514, 0.5439)  3 Co 2.48-2.49, 1 Al 2.73
Co (0.0724, 0.7500, 0.5096)  6 Al 2.48-2.51
Co (0.1911, 0.2500, 0.7761)  6 Al 2.48-2.54

Output
**Spin magnetization**: 0.00 μB per atom
**Energy relative to the elements**: -533 meV/atom



Record 2
# LaPr7Dy2

A geometry-optimized LaPr7Dy2 structure (GGA-PBE, the Alexandria database).

Lattice parameters (Å, degrees): 9.0480 16.3444 5.8212 90.00 90.00 90.00
Closest atoms and distances in Å follow each position.
Space group Cmmm (No. 65)
Symmetry-distinct sites (fractional):
La (0.0000, 0.0000, 0.0000)  10 Pr 3.77-3.84
Pr (0.0000, 0.2305, 0.0000)  2 Dy 3.11
Pr (0.0000, 0.5000, 0.5000)  2 Dy 3.32, 4 Pr 3.47
Pr (0.1800, 0.1170, 0.5000)  2 Dy 3.22-3.36, 2 Pr 3.26-3.47
Dy (0.0000, 0.2967, 0.5000)  7 Pr 3.11-3.36

Output
**Spin magnetization**: 0.00 μB per atom
**ΔE to the lowest computed polymorph**: 0.4343 eV per atom
**Energy relative to the elements**: 615 meV/atom



Record 3
# IrSe3N

A geometry-optimized IrSe3N structure (GGA-PBE, the Alexandria database).

Lattice parameters (Å, degrees): 4.8564 4.8564 4.8564 90.00 90.00 90.00
Closest atoms and distances in Å follow each position.
Space group Pm-3m (No. 221)
Symmetry-distinct sites (fractional):
Ir (0.0000, 0.0000, 0.0000)  6 Se 2.43
Se (0.0000, 0.0000, 0.5000)  2 Ir 2.43
N (0.5000, 0.5000, 0.5000)  12 Se 3.43

Output
**Spin magnetization**: 0.00 μB per atom
**ΔE to the lowest computed polymorph**: 0.4985 eV per atom



Record 4
# K2RbCdCl5

A geometry-optimized K2RbCdCl5 structure (GGA-PBE, the Alexandria database).

Lattice parameters (Å, degrees): 5.1661 7.5037 15.0369 90.00 90.00 90.00
Closest atoms and distances in Å follow each position.
Space group Immm (No. 71)
Symmetry-distinct sites (fractional):
K (0.0000, 0.0000, 0.2064)  7 Cl 3.10-3.38
Rb (0.0000, 0.5000, 0.0000)  10 Cl 3.75
Cd (0.0000, 0.5000, 0.5000)  6 Cl 2.58-2.67
Cl (0.0000, 0.0000, 0.0000)  2 Cd 2.58
Cl (0.0000, 0.2544, 0.3715)  1 Cd 2.67

Output
**Spin magnetization**: 0.00 μB per atom
**Calculated total energy**: -0.1154 hartree per atom



Record 5
# Sc6Tl2C

A geometry-optimized Sc6Tl2C structure (GGA-PBE, the Alexandria database).

Lattice parameters (Å, degrees): 7.9736 7.9736 3.4584 90.00 90.00 120.00
Closest atoms and distances in Å follow each position.
Space group P-62m (No. 189)
Symmetry-distinct sites (fractional):
Sc (0.0000, 0.2137, 0.0000)  2 C 2.43
Sc (0.0000, 0.6038, 0.5000)  4 Tl 3.00, 1 C 3.16, 4 Sc 3.24
Tl (0.3333, 0.6667, 0.0000)  9 Sc 3.00-3.24
C (0.0000, 0.0000, 0.5000)  6 Sc 2.43

Output
**Spin magnetization**: 0.30 μB per atom
**Energy relative to the elements**: -205 meV/atom



Record 6
# TaCu2Mo

A geometry-optimized TaCu2Mo structure (GGA-PBE, the Alexandria database).

Lattice parameters (Å, degrees): 2.7739 2.7739 27.0555 90.00 90.00 120.00
Closest atoms and distances in Å follow each position.
Space group R3m (No. 160, hexagonal axes)
Symmetry-distinct sites (fractional):
Ta (0.0000, 0.0000, 0.0000)  6 Ta 2.77, 3 Cu 2.79, 3 Mo 2.99
Cu (0.0000, 0.0000, 0.2489)  9 Cu 2.56-2.77, 3 Ta 2.79
Cu (0.0000, 0.0000, 0.5082)  9 Cu 2.56-2.77, 3 Mo 2.72
Mo (0.0000, 0.0000, 0.7602)  3 Cu 2.72, 6 Mo 2.77, 3 Ta 2.99

Output
**Spin magnetization**: 0.00 μB per atom
**ΔE to the lowest computed polymorph**: 0.1704 eV per atom
**Energy relative to the elements**: 278 meV/atom



Record 7
# CeZrIn2

A geometry-optimized CeZrIn2 structure (GGA-PBE, the Alexandria database).

Lattice parameters (Å, degrees): 3.2448 3.2448 9.2045 90.00 90.00 90.00
Closest atoms and distances in Å follow each position.
Space group P4/mmm (No. 123)
Symmetry-distinct sites (fractional):
Ce (0.0000, 0.0000, 0.0000)  4 Ce 3.24, 8 In 3.36
Zr (0.0000, 0.0000, 0.5000)  8 In 3.14, 4 Zr 3.24
In (0.5000, 0.5000, 0.2669)  4 Zr 3.14, 4 In 3.24, 4 Ce 3.36

Output
**Spin magnetization**: 0.13 μB per atom
**Energy relative to the elements**: -337 meV/atom



Record 8
# SiBr2Cl

A geometry-optimized SiBr2Cl structure (GGA-PBE, the Alexandria database).

Lattice parameters (Å, degrees): 3.8843 3.8843 22.8742 90.00 90.00 120.00
Closest atoms and distances in Å follow each position.
Space group R-3m (No. 166, hexagonal axes)
Symmetry-distinct sites (fractional):
Si (0.0000, 0.0000, 0.0000)  6 Br 2.71
Br (0.0000, 0.0000, 0.2670)  3 Si 2.71
Cl (0.0000, 0.0000, 0.5000)  6 Br 3.21

Output
**Spin magnetization**: 0.00 μB per atom
**ΔE to the lowest computed polymorph**: 0.4952 eV per atom